[1]
LiAg2Se: relaxed, PBE.

The structure in POSCAR format:
```
LiAg2Se
1.0
-5.2372 0.5023 -0.6231
-2.2964 -3.8068 -2.8817
3.3388 0.1258 4.1117
Se Ag Li
1 2 1
Cartesian
-1.3622 -2.6666 -0.2612
-3.7635 -1.6508 -1.7508
-0.0034 -0.0015 -0.0016
-2.8326 -0.5121 0.8681
```

The calculation puts the total energy at -12.3 eV per cell. As for the space-group type: I4/mmm, No. 139. For the magnetization, the calculation gives 0.0 μB/f.u.

***

[2]
LiAg2Se: relaxed, PBE.

The structure in POSCAR format:
```
LiAg2Se
1.0
-4.4041 -2.8871 0.3641
1.5917 -2.4171 0.0867
0.1698 0.3533 4.8559
Ag Li Se
2 1 1
Cartesian
0.8990 -1.0629 2.4458
1.5735 -2.3861 0.1122
-1.7617 -1.9595 1.4177
-0.8809 -2.9914 3.8890
```

The calculation puts the total energy at -12.1 eV per cell. As for the space-group type: P2/m, No. 10. For the magnetization, the calculation gives 0.0 μB/f.u.

***

[3]
LiAg2Se: relaxed, PBE.

The structure in POSCAR format:
```
LiAg2Se
1.0
-2.4712 2.5887 0.4751
-0.0513 -0.6990 3.5416
4.1021 3.7686 0.8032
Ag Li Se
2 1 1
Cartesian
0.0182 0.0167 0.0036
2.0328 1.8676 0.3980
-0.2357 1.8870 2.2092
1.8153 3.7713 2.6107
```

The calculation puts the total energy at -11.7 eV per cell. As for the space-group type: P4/mmm, No. 123. For the magnetization, the calculation gives 0.0 μB/f.u.

***

[4]
LiAg2Se: relaxed, PBE.

The structure in POSCAR format:
```
LiAg2Se
1.0
-0.3147 -4.5152 -2.4183
2.1545 -2.8825 -3.6583
2.9787 -2.4143 2.7524
Ag Se Li
2 1 1
Cartesian
4.7948 -9.7435 -3.2810
2.4329 -4.9746 -1.7053
1.2046 -2.4530 -0.8310
3.6139 -7.3590 -2.4931
```

The calculation puts the total energy at -12.1 eV per cell. As for the space-group type: C2/m, No. 12. For the magnetization, the calculation gives 0.0 μB/f.u.

***

[5]
LiAg2Se: relaxed, PBE.

The structure in POSCAR format:
```
LiAg2Se
1.0
4.4624 0.0000 0.0000
0.0000 6.7449 -0.0004
0.0000 0.0104 10.9459
Ag Li Se
8 4 4
Cartesian
3.3495 5.9425 6.8127
3.3441 2.5648 1.3399
1.1217 4.1823 6.8063
3.3407 2.5731 4.1392
3.3529 5.9508 9.6119
1.1095 0.8046 1.3336
1.1129 0.8128 4.1328
1.1183 4.1905 9.6056
1.1201 0.3020 8.2090
3.3513 3.0861 8.2096
1.1111 3.6693 2.7358
3.3423 6.4533 2.7365
2.2320 1.6969 9.9782
0.0008 1.6912 6.4405
2.2304 5.0585 0.9673
4.4616 5.0641 4.5050
```

The calculation puts the total energy at -48.2 eV per cell. As for the space-group type: P2_1/c, No. 14. For the magnetization, the calculation gives 0.0 μB/f.u.

***

[6]
LiAg2Se2: relaxed, PBE.

The structure in POSCAR format:
```
LiAg2Se2
1.0
7.4013 0.0000 0.0000
0.0000 7.4013 0.0000
0.0000 0.0000 3.7208
Se Li Ag
4 2 4
Cartesian
4.9898 1.2891 0.0000
1.2891 2.4115 0.0000
6.1122 4.9898 0.0000
2.4115 6.1122 0.0000
0.0000 0.0000 0.0000
3.7007 3.7007 0.0000
4.7008 6.4012 1.8604
1.0001 4.7008 1.8604
6.4012 2.7005 1.8604
2.7005 1.0001 1.8604
```

The calculation puts the total energy at -31.9 eV per cell. As for the space-group type: P4/mbm, No. 127. For the magnetization, the calculation gives 0.0 μB/f.u.

***

[7]
LiAg2Se: relaxed, PBE.

The structure in POSCAR format:
```
LiAg2Se
1.0
4.0598 0.0000 0.0000
0.0000 3.9993 0.0000
0.0000 0.0000 4.3792
Se Li Ag
1 1 2
Cartesian
0.0000 1.9997 2.1896
2.0299 0.0000 2.1896
2.0299 1.9997 0.0000
0.0000 0.0000 0.0000
```

The calculation puts the total energy at -12.3 eV per cell. As for the space-group type: Pmmm, No. 47. For the magnetization, the calculation gives 0.0 μB/f.u.

***

[8]
LiAg2Se: relaxed, PBE.

The structure in POSCAR format:
```
LiAg2Se
1.0
8.8994 -0.0761 -0.0448
8.3815 2.9927 -0.0448
8.3815 1.4146 2.6377
Se Li Ag
1 1 2
Cartesian
19.4205 3.2777 1.9283
12.6938 2.1424 1.2604
0.0334 0.0056 0.0033
6.3458 1.0710 0.6301
```

The calculation puts the total energy at -11.4 eV per cell. As for the space-group type: R3m, No. 160. For the magnetization, the calculation gives 0.0 μB/f.u.

***

[9]
LiAg2Se: relaxed, PBE.

The structure in POSCAR format:
```
LiAg2Se
1.0
2.8459 0.0000 0.0000
0.0000 2.8459 0.0000
0.0000 0.0000 9.0721
Li Ag Se
1 2 1
Cartesian
1.4229 1.4229 2.2680
0.0000 0.0000 0.2779
0.0000 0.0000 4.2582
1.4229 1.4229 6.8041
```

The calculation puts the total energy at -11.1 eV per cell. As for the space-group type: P4/mmm, No. 123. For the magnetization, the calculation gives 0.0 μB/f.u.

***

[10]
Li2AgSe: relaxed, PBE.

The structure in POSCAR format:
```
Li2AgSe
1.0
-1.3851 4.1072 -0.0662
-0.7874 -0.3340 -4.2497
-8.8655 -0.7104 -0.5125
Li Se Ag
4 2 2
Cartesian
-7.4960 0.8685 -2.1765
-2.9382 0.2949 -2.7952
-3.1239 2.1798 -0.6980
-8.5179 2.7823 -3.9871
-1.0862 1.8866 -2.1580
-5.3696 0.4211 -3.4601
-5.6684 2.6417 -1.3683
0.0000 0.0000 0.0000
```

The calculation puts the total energy at -23.1 eV per cell. As for the space-group type: I-42d, No. 122. For the magnetization, the calculation gives 0.0 μB/f.u.

***

[11]
LiAg2Se: relaxed, PBE.

The structure in POSCAR format:
```
LiAg2Se
1.0
3.9792 0.0000 0.0000
0.0000 3.9792 0.0000
1.9896 1.9896 9.7721
Li Ag Se
2 4 2
Cartesian
1.9896 1.9896 0.0000
1.9896 3.9792 4.8861
2.9982 0.9948 2.4430
0.9810 2.9844 2.4430
4.9740 4.9878 7.3291
2.9844 2.9705 7.3291
0.0000 0.0000 0.0000
3.9792 1.9896 4.8861
```

The calculation puts the total energy at -24.0 eV per cell. As for the space-group type: I-42d, No. 122. For the magnetization, the calculation gives 0.0 μB/f.u.

***

[12]
Li2AgSe2: relaxed, PBE.

The structure in POSCAR format:
```
Li2AgSe2
1.0
7.1211 0.0000 0.0000
0.0000 7.1211 0.0000
0.0000 0.0000 3.8423
Se Li Ag
4 4 2
Cartesian
4.7303 1.1697 0.0000
1.1697 2.3909 0.0000
5.9514 4.7303 0.0000
2.3909 5.9514 0.0000
4.5708 6.1109 1.9212
6.1109 2.5503 1.9212
1.0102 4.5708 1.9212
2.5503 1.0102 1.9212
0.0000 0.0000 0.0000
3.5606 3.5606 0.0000
```

The calculation puts the total energy at -33.7 eV per cell. As for the space-group type: P4/mbm, No. 127. For the magnetization, the calculation gives 0.0 μB/f.u.

***

Sequential formation energy (no corrections) output: -0.30 -0.24 -0.16 -0.24 -0.23 -0.27 -0.31 -0.08 -0.01 -0.35 -0.23 -0.64 eV/atom